1.
The following is a PBE calculation of a relaxed Pm3Er8Th2 crystal, from the Alexandria database.

The space-group type is P-1, No. 2. The calculation puts the formation energy at 15.03 kJ per mole of atoms. The value obtained for the total magnetic moment is 0.00 μB/f.u. As for the calculated volume: 32.544 A^3/atom.

Unit cell a=11.551 b=7.870 c=18.387 alpha=84.39 beta=105.69 gamma=147.14
Fractional positions:
Th 0.710 0.333 0.081
Th 0.054 0.174 0.419
Th 0.290 0.667 0.919
Th 0.946 0.826 0.581
Er 0.013 0.686 0.434
Er 0.564 0.827 0.384
Er 0.987 0.314 0.566
Er 0.353 0.744 0.743
Er 0.714 0.955 0.887
Er 0.436 0.173 0.616
Er 0.286 0.045 0.113
Er 0.654 0.822 0.068
Er 0.525 0.365 0.390
Er 0.750 0.410 0.890
Er 0.475 0.635 0.610
Er 0.075 0.039 0.233
Er 0.250 0.590 0.110
Er 0.925 0.961 0.767
Er 0.346 0.178 0.932
Er 0.647 0.256 0.257
Pm 0.500 0.000 0.500
Pm 0.895 0.429 0.735
Pm 0.632 0.730 0.243
Pm 0.000 0.000 0.000
Pm 0.368 0.270 0.757
Pm 0.105 0.571 0.265

2.
The following is a PBE calculation of a relaxed KNaN2 crystal, from the Alexandria database.

The space-group type is I4_1/amd, No. 141. The value obtained for the total magnetic moment is 0.00 μB/f.u. As for the calculated volume: 16.252 A^3/atom. The uncorrected formation energy comes out at 119.4 kJ/mol of atoms.

Unit cell a=4.022 b=4.022 c=8.526 alpha=76.36 beta=76.36 gamma=90.00
Fractional positions:
Na 0.500 0.500 0.000
Na 0.250 0.750 0.500
N 0.375 0.125 0.250
N 0.875 0.625 0.750
N 0.375 0.625 0.250
N 0.375 0.625 0.750
K 0.000 0.000 0.000
K 0.750 0.250 0.500

3.
The following is a PBE calculation of a relaxed CaLa6Zn2 crystal, from the Alexandria database.

The space-group type is C2/m, No. 12. The calculation puts the formation energy at -12.45 kJ per mole of atoms. The value obtained for the total magnetic moment is 0.00 μB/f.u. As for the calculated volume: 32.406 A^3/atom.

Unit cell a=3.796 b=6.880 c=12.037 alpha=75.87 beta=80.93 gamma=73.98
Fractional positions:
La 0.306 0.794 0.594
La 0.695 0.484 0.127
La 0.694 0.206 0.406
La 0.975 0.719 0.330
La 0.025 0.281 0.670
La 0.305 0.516 0.873
Ca 0.000 0.000 0.000
Zn 0.643 0.914 0.800
Zn 0.357 0.086 0.200

4.
The following is a PBE calculation of a relaxed Np2UO6 crystal, from the Alexandria database.

The space-group type is Immm, No. 71. The value obtained for the total magnetic moment is 8.00 μB/f.u. As for the calculated volume: 13.157 A^3/atom. The uncorrected formation energy comes out at -308.1 kJ/mol of atoms.

Unit cell a=3.824 b=5.406 c=6.616 alpha=114.12 beta=106.80 gamma=90.00
Site moments in Bohr magnetons follow the coordinates.
Fractional positions:
O 0.500 0.755 0.000  -0.07
O 0.164 0.412 0.329  -0.08
O 0.500 0.245 0.000  -0.07
O 0.836 0.083 0.671  -0.08
O 0.836 0.588 0.671  -0.08
O 0.164 0.917 0.329  -0.08
Np 0.333 0.333 0.666  3.28
Np 0.667 0.667 0.334  3.28
U 0.000 0.000 0.000  1.67

5.
The following is a PBE calculation of a relaxed TlAsO4F crystal, from the Alexandria database.

The space-group type is C2/m, No. 12. The value obtained for the total magnetic moment is 1.01 μB/f.u. As for the calculated volume: 15.800 A^3/atom. The uncorrected formation energy comes out at -81.6 kJ/mol of atoms.

Unit cell a=5.683 b=5.683 c=7.115 alpha=82.72 beta=82.72 gamma=77.31
Site moments in Bohr magnetons follow the coordinates.
Fractional positions:
F 0.021 0.021 0.186  0.00
F 0.979 0.979 0.814  0.00
O 0.427 0.427 0.716  0.24
O 0.855 0.494 0.867  0.05
O 0.722 0.722 0.499  0.52
O 0.494 0.855 0.867  0.05
O 0.278 0.278 0.501  0.52
O 0.506 0.145 0.133  0.05
O 0.573 0.573 0.284  0.24
O 0.145 0.506 0.133  0.05
Tl 0.200 0.200 0.915  0.00
Tl 0.800 0.800 0.085  0.00
As 0.379 0.379 0.271  0.00
As 0.621 0.621 0.729  0.00

6.
The following is a PBE calculation of a relaxed KTlZn2Cl8 crystal, from the Alexandria database.

The space-group type is C2/m, No. 12. The value obtained for the total magnetic moment is 0.00 μB/f.u. As for the calculated volume: 30.122 A^3/atom. The uncorrected formation energy comes out at -106.5 kJ/mol of atoms.

Unit cell a=6.407 b=6.408 c=9.428 alpha=86.74 beta=86.73 gamma=69.39
Fractional positions:
Zn 0.633 0.633 0.218
Zn 0.367 0.367 0.782
Cl 0.295 0.295 0.569
Cl 0.760 0.258 0.793
Cl 0.250 0.250 0.997
Cl 0.705 0.705 0.431
Cl 0.240 0.742 0.207
Cl 0.750 0.750 0.003
Cl 0.742 0.240 0.207
Cl 0.258 0.760 0.793
K 0.000 0.000 0.500
Tl 0.000 0.000 0.000

7.
The following is a PBE calculation of a relaxed IrIF2 crystal, from the Alexandria database.

The space-group type is Fm-3m, No. 225. The value obtained for the total magnetic moment is 1.95 μB/f.u. As for the calculated volume: 15.389 A^3/atom. The uncorrected formation energy comes out at 37.7 kJ/mol of atoms.

Unit cell a=4.432 b=4.432 c=4.432 alpha=60.00 beta=60.00 gamma=60.00
Site moments in Bohr magnetons follow the coordinates.
Fractional positions:
I 0.000 0.000 0.000  0.07
Ir 0.500 0.500 0.500  1.48
F 0.250 0.250 0.250  0.17
F 0.750 0.750 0.750  0.17

8.
The following is a PBE calculation of a relaxed ZrScSb2 crystal, from the Alexandria database.

The space-group type is Pmmm, No. 47. The value obtained for the total magnetic moment is 0.00 μB/f.u. As for the calculated volume: 23.464 A^3/atom. The uncorrected formation energy comes out at -56.4 kJ/mol of atoms.

Unit cell a=4.357 b=5.484 c=3.928 alpha=90.00 beta=90.00 gamma=90.00
Fractional positions:
Zr 0.000 0.500 0.500
Sb 0.000 0.000 0.000
Sb 0.500 0.500 0.000
Sc 0.500 0.000 0.500

9.
The following is a PBE calculation of a relaxed AgTe2Rh crystal, from the Alexandria database.

The space-group type is R-3m, No. 166. The value obtained for the total magnetic moment is 0.00 μB/f.u. As for the calculated volume: 23.218 A^3/atom. The uncorrected formation energy comes out at -15.9 kJ/mol of atoms.

Unit cell a=7.507 b=7.507 c=7.507 alpha=29.86 beta=29.86 gamma=29.86
Fractional positions:
Rh 0.500 0.500 0.500
Te 0.237 0.237 0.237
Te 0.763 0.763 0.763
Ag 0.000 0.000 0.000

10.
The following is a PBE calculation of a relaxed LaTc2Pb crystal, from the Alexandria database.

The space-group type is I-4m2, No. 119. The calculation puts the formation energy at 52.41 kJ per mole of atoms. The value obtained for the total magnetic moment is 1.45 μB/f.u. As for the calculated volume: 20.936 A^3/atom.

Unit cell a=5.861 b=5.861 c=5.861 alpha=139.61 beta=139.61 gamma=58.45
Site moments in Bohr magnetons follow the coordinates.
Fractional positions:
Pb 0.750 0.250 0.500  -0.01
Tc 0.000 0.000 0.000  0.07
Tc 0.250 0.750 0.500  1.19
La 0.500 0.500 0.000  0.03

11.
The following is a PBE calculation of a relaxed PmDy4Th2 crystal, from the Alexandria database.

The space-group type is C2/m, No. 12. The calculation puts the formation energy at 9.33 kJ per mole of atoms. The value obtained for the total magnetic moment is 0.00 μB/f.u. As for the calculated volume: 32.957 A^3/atom.

Unit cell a=3.511 b=9.501 c=8.774 alpha=122.00 beta=78.51 gamma=111.64
Fractional positions:
Dy 0.410 0.705 0.588
Dy 0.199 0.846 0.293
Dy 0.590 0.295 0.412
Dy 0.801 0.154 0.707
Th 0.368 0.436 0.138
Th 0.632 0.564 0.862
Pm 0.000 0.000 0.000

12.
The following is a PBE calculation of a relaxed Hg2TeF2 crystal, from the Alexandria database.

The space-group type is Cc, No. 9. The value obtained for the total magnetic moment is 0.00 μB/f.u. As for the calculated volume: 25.325 A^3/atom. The uncorrected formation energy comes out at -90.6 kJ/mol of atoms.

Unit cell a=7.032 b=7.032 c=7.424 alpha=121.15 beta=121.15 gamma=88.79
Fractional positions:
Te 0.052 0.023 0.027
Te 0.773 0.302 0.527
F 0.483 0.684 0.365
F 0.434 0.733 0.865
F 0.949 0.603 0.230
F 0.353 0.199 0.730
Hg 0.214 0.512 0.961
Hg 0.687 0.153 0.778
Hg 0.903 0.937 0.278
Hg 0.262 0.464 0.461

13.
The following is a PBE calculation of a relaxed TiSi2BN crystal, from the Alexandria database.

The space-group type is P4/mmm, No. 123. The value obtained for the total magnetic moment is 0.00 μB/f.u. As for the calculated volume: 18.100 A^3/atom. The uncorrected formation energy comes out at 135.2 kJ/mol of atoms.

Unit cell a=4.897 b=3.774 c=4.897 alpha=90.00 beta=90.00 gamma=90.00
Fractional positions:
Si 0.500 0.000 0.000
Si 0.000 0.000 0.500
N 0.000 0.500 0.000
B 0.500 0.500 0.500
Ti 0.000 0.000 0.000

14.
The following is a PBE calculation of a relaxed Cd3Pt crystal, from the Alexandria database.

The space-group type is I4/mmm, No. 139. The calculation puts the formation energy at -19.17 kJ per mole of atoms. The value obtained for the total magnetic moment is 0.00 μB/f.u. As for the calculated volume: 19.092 A^3/atom.

Unit cell a=4.198 b=4.198 c=5.253 alpha=113.55 beta=113.55 gamma=90.00
Fractional positions:
Cd 0.250 0.750 0.500
Cd 0.750 0.250 0.500
Cd 0.500 0.500 0.000
Pt 0.000 0.000 0.000